Entry 1:
# Cs3Zr7BCl20 (PBE, relaxed)
# Energy   -5.270 eV/atom
# Crystal system   trigonal
data_Cs3Zr7BCl20
_cell_length_a 13.0301
_cell_length_b 13.0301
_cell_length_c 35.3173
_cell_angle_alpha 90.00
_cell_angle_beta 90.00
_cell_angle_gamma 120.00
_space_group_name_H-M_alt 'R -3 c'
_space_group_IT_number 167
_space_group_name_Hall '-R 3 2"c'
loop_
_atom_site_label
_atom_site_fract_x
_atom_site_fract_y
_atom_site_fract_z
Cs1 0.0000 0.5000 0.0000
Zr1 0.0000 0.0000 0.2500
Zr2 0.0096 0.1501 0.0382
B1 0.0000 0.0000 0.0000
Cl1 0.0000 0.0000 0.1800
Cl2 0.0000 0.1836 0.2500
Cl3 0.0000 0.3568 0.7500
Cl4 0.0101 0.1648 0.9162
Cl5 0.0123 0.4923 0.1663

Entry 2:
# Dy2Ho2BI3Cl2 (PBE, relaxed)
# Energy   -4.654 eV/atom
# Crystal system   monoclinic
data_Dy2Ho2BI3Cl2
_cell_length_a 18.4197
_cell_length_b 3.9750
_cell_length_c 8.4704
_cell_angle_alpha 90.00
_cell_angle_beta 99.99
_cell_angle_gamma 90.00
_space_group_name_H-M_alt 'C 1 2/m 1'
_space_group_IT_number 12
_space_group_name_Hall '-C 2y'
loop_
_atom_site_label
_atom_site_fract_x
_atom_site_fract_y
_atom_site_fract_z
Dy1 0.1372 0.0000 0.0680
Ho1 0.0017 0.5000 0.8039
B1 0.0000 0.0000 0.0000
I1 0.0000 0.0000 0.5000
I2 0.1756 0.5000 0.8113
Cl1 0.1494 0.5000 0.2942

Entry 3:
# Dy4BICl4 (PBE, relaxed)
# Energy   -4.953 eV/atom
# Crystal system   monoclinic
data_Dy4BICl4
_cell_length_a 17.2173
_cell_length_b 3.8999
_cell_length_c 8.5361
_cell_angle_alpha 90.00
_cell_angle_beta 103.87
_cell_angle_gamma 90.00
_space_group_name_H-M_alt 'C 1 2/m 1'
_space_group_IT_number 12
_space_group_name_Hall '-C 2y'
loop_
_atom_site_label
_atom_site_fract_x
_atom_site_fract_y
_atom_site_fract_z
Dy1 0.9997 0.0000 0.1976
Dy2 0.1480 0.5000 0.0772
B1 0.0000 0.5000 0.0000
I1 0.0000 0.5000 0.5000
Cl1 0.1669 0.0000 0.3067
Cl2 0.1718 0.0000 0.8598

Entry 4:
# Nd2Dy2BICl4 (PBE, relaxed)
# Energy   -4.984 eV/atom
# Crystal system   monoclinic
data_Nd2Dy2BICl4
_cell_length_a 17.4527
_cell_length_b 3.9703
_cell_length_c 8.9594
_cell_angle_alpha 90.00
_cell_angle_beta 104.33
_cell_angle_gamma 90.00
_space_group_name_H-M_alt 'C 1 2/m 1'
_space_group_IT_number 12
_space_group_name_Hall '-C 2y'
loop_
_atom_site_label
_atom_site_fract_x
_atom_site_fract_y
_atom_site_fract_z
Nd1 0.0006 0.0000 0.2026
Dy1 0.1475 0.5000 0.0738
B1 0.0000 0.5000 0.0000
I1 0.0000 0.5000 0.5000
Cl1 0.1720 0.0000 0.2904
Cl2 0.1739 0.0000 0.8724

Entry 5:
# Dy2Y2BICl4 (PBE, relaxed)
# Energy   -5.333 eV/atom
# Crystal system   monoclinic
data_Dy2Y2BICl4
_cell_length_a 17.1721
_cell_length_b 3.9019
_cell_length_c 8.5461
_cell_angle_alpha 90.00
_cell_angle_beta 103.86
_cell_angle_gamma 90.00
_space_group_name_H-M_alt 'C 1 2/m 1'
_space_group_IT_number 12
_space_group_name_Hall '-C 2y'
loop_
_atom_site_label
_atom_site_fract_x
_atom_site_fract_y
_atom_site_fract_z
Dy1 0.0006 0.0000 0.3026
Y1 0.1484 0.5000 0.5785
B1 0.0000 0.5000 0.5000
I1 0.0000 0.5000 0.0000
Cl1 0.1666 0.0000 0.8081
Cl2 0.1725 0.0000 0.3595

Entry 6:
# Dy4BClO7 (PBE, relaxed)
# Energy   -8.049 eV/atom
# Crystal system   monoclinic
data_Dy4BClO7
_cell_length_a 8.5642
_cell_length_b 8.0141
_cell_length_c 12.2410
_cell_angle_alpha 90.00
_cell_angle_beta 120.50
_cell_angle_gamma 90.00
_space_group_name_H-M_alt 'P 1 21/c 1'
_space_group_IT_number 14
_space_group_name_Hall '-P 2ybc'
loop_
_atom_site_label
_atom_site_fract_x
_atom_site_fract_y
_atom_site_fract_z
Dy1 0.0723 0.1390 0.4206
Dy2 0.0779 0.6179 0.4100
Dy3 0.2982 0.1251 0.7794
Dy4 0.3190 0.6136 0.7810
B1 0.3689 0.1307 0.0862
Cl1 0.3840 0.6489 0.0331
O1 0.0380 0.1221 0.5967
O2 0.0718 0.6215 0.5924
O3 0.1785 0.1175 0.2823
O4 0.1922 0.6375 0.2745
O5 0.2768 0.1104 0.9565
O6 0.3829 0.2101 0.6329
O7 0.4341 0.5041 0.6656

Entry 7:
# Dy2Sc2BCl5 (PBE, relaxed)
# Energy   -5.429 eV/atom
# Crystal system   monoclinic
data_Dy2Sc2BCl5
_cell_length_a 16.5384
_cell_length_b 3.7072
_cell_length_c 7.8897
_cell_angle_alpha 90.00
_cell_angle_beta 103.00
_cell_angle_gamma 90.00
_space_group_name_H-M_alt 'C 1 2/m 1'
_space_group_IT_number 12
_space_group_name_Hall '-C 2y'
loop_
_atom_site_label
_atom_site_fract_x
_atom_site_fract_y
_atom_site_fract_z
Dy1 0.0009 0.0000 0.2826
Sc1 0.1439 0.5000 0.5753
B1 0.0000 0.5000 0.5000
Cl1 0.0000 0.5000 0.0000
Cl2 0.1689 0.0000 0.8134
Cl3 0.1746 0.0000 0.3567

Entry 8:
# Sm2Dy2BCl5 (PBE, relaxed)
# Energy   -5.120 eV/atom
# Crystal system   monoclinic
data_Sm2Dy2BCl5
_cell_length_a 17.4784
_cell_length_b 3.8565
_cell_length_c 7.8639
_cell_angle_alpha 90.00
_cell_angle_beta 104.14
_cell_angle_gamma 90.00
_space_group_name_H-M_alt 'C 1 2/m 1'
_space_group_IT_number 12
_space_group_name_Hall '-C 2y'
loop_
_atom_site_label
_atom_site_fract_x
_atom_site_fract_y
_atom_site_fract_z
Sm1 0.1496 0.0000 0.0881
Dy1 0.0008 0.5000 0.7828
B1 0.0000 0.0000 0.0000
Cl1 0.0000 0.0000 0.5000
Cl2 0.1617 0.5000 0.3487
Cl3 0.1679 0.5000 0.8353

Entry 9:
# Dy2Y2BCl5 (PBE, relaxed)
# Energy   -5.477 eV/atom
# Crystal system   monoclinic
data_Dy2Y2BCl5
_cell_length_a 17.2560
_cell_length_b 3.8214
_cell_length_c 7.8513
_cell_angle_alpha 90.00
_cell_angle_beta 103.33
_cell_angle_gamma 90.00
_space_group_name_H-M_alt 'C 1 2/m 1'
_space_group_IT_number 12
_space_group_name_Hall '-C 2y'
loop_
_atom_site_label
_atom_site_fract_x
_atom_site_fract_y
_atom_site_fract_z
Dy1 0.1473 0.0000 0.0830
Y1 0.0012 0.5000 0.7828
B1 0.0000 0.0000 0.0000
Cl1 0.0000 0.0000 0.5000
Cl2 0.1651 0.5000 0.3357
Cl3 0.1721 0.5000 0.8441

Entry 10:
# Er4BCl5 (PBE, relaxed)
# Energy   -5.067 eV/atom
# Crystal system   monoclinic
data_Er4BCl5
_cell_length_a 17.0642
_cell_length_b 3.7766
_cell_length_c 7.7835
_cell_angle_alpha 90.00
_cell_angle_beta 103.27
_cell_angle_gamma 90.00
_space_group_name_H-M_alt 'C 1 2/m 1'
_space_group_IT_number 12
_space_group_name_Hall '-C 2y'
loop_
_atom_site_label
_atom_site_fract_x
_atom_site_fract_y
_atom_site_fract_z
Er1 0.0007 0.0000 0.2846
Er2 0.1466 0.5000 0.5810
B1 0.0000 0.5000 0.5000
Cl1 0.0000 0.5000 0.0000
Cl2 0.1652 0.0000 0.8336
Cl3 0.1723 0.0000 0.3434

Entry 11:
# Er4BClO7 (PBE, relaxed)
# Energy   -8.056 eV/atom
# Crystal system   monoclinic
data_Er4BClO7
_cell_length_a 8.4703
_cell_length_b 7.9375
_cell_length_c 12.0920
_cell_angle_alpha 90.00
_cell_angle_beta 119.79
_cell_angle_gamma 90.00
_space_group_name_H-M_alt 'P 1 21/c 1'
_space_group_IT_number 14
_space_group_name_Hall '-P 2ybc'
loop_
_atom_site_label
_atom_site_fract_x
_atom_site_fract_y
_atom_site_fract_z
Er1 0.0694 0.1391 0.4191
Er2 0.0747 0.6176 0.4084
Er3 0.2975 0.1250 0.7788
Er4 0.3189 0.6142 0.7803
B1 0.3693 0.1309 0.0861
Cl1 0.3815 0.6503 0.0317
O1 0.0395 0.1223 0.5971
O2 0.0742 0.6216 0.5927
O3 0.1799 0.1171 0.2826
O4 0.1908 0.6376 0.2740
O5 0.2731 0.1102 0.9558
O6 0.3850 0.2081 0.6332
O7 0.4368 0.5042 0.6663

Entry 12:
# Gd4BClO7 (PBE, relaxed)
# Energy   -8.040 eV/atom
# Crystal system   monoclinic
data_Gd4BClO7
_cell_length_a 8.6745
_cell_length_b 8.1018
_cell_length_c 12.4184
_cell_angle_alpha 90.00
_cell_angle_beta 121.34
_cell_angle_gamma 90.00
_space_group_name_H-M_alt 'P 1 21/c 1'
_space_group_IT_number 14
_space_group_name_Hall '-P 2ybc'
loop_
_atom_site_label
_atom_site_fract_x
_atom_site_fract_y
_atom_site_fract_z
Gd1 0.0748 0.1375 0.4215
Gd2 0.0818 0.6176 0.4127
Gd3 0.3003 0.1268 0.7811
Gd4 0.3190 0.6140 0.7819
B1 0.3683 0.1294 0.0867
Cl1 0.3837 0.6423 0.0350
O1 0.0384 0.1225 0.5964
O2 0.0677 0.6224 0.5921
O3 0.1770 0.1173 0.2816
O4 0.1945 0.6369 0.2764
O5 0.2802 0.1144 0.9574
O6 0.3846 0.2151 0.6364
O7 0.4266 0.5087 0.6612